Density functional theory data (PBE-GGA) for an optimized crystal structure of Sn3PtRh.

```
data_Sn3PtRh
_chemical_formula_sum 'Sn12 Pt4 Rh4'
_space_group_name_H-M_alt 'P 1'
_space_group_IT_number 1
_space_group_name_Hall 'P 1'
_cell_length_a 7.062
_cell_length_b 7.062
_cell_length_c 10.877
_cell_angle_alpha 101.76
_cell_angle_beta 101.76
_cell_angle_gamma 54.37
loop_
_atom_site_label
_atom_site_type_symbol
_atom_site_fract_x
_atom_site_fract_y
_atom_site_fract_z
_atom_site_occupancy
Sn1 Sn 0.047 0.226 0.783 1
Sn2 Sn 0.201 0.727 0.983 1
Sn3 Sn 0.208 0.415 0.624 1
Sn4 Sn 0.226 0.047 0.283 1
Sn5 Sn 0.273 0.799 0.517 1
Sn6 Sn 0.415 0.208 0.124 1
Sn7 Sn 0.585 0.792 0.876 1
Sn8 Sn 0.727 0.201 0.483 1
Sn9 Sn 0.774 0.953 0.717 1
Sn10 Sn 0.792 0.585 0.376 1
Sn11 Sn 0.799 0.273 0.017 1
Sn12 Sn 0.953 0.774 0.217 1
Pt1 Pt 0.264 0.433 0.372 1
Pt2 Pt 0.433 0.264 0.872 1
Pt3 Pt 0.567 0.736 0.128 1
Pt4 Pt 0.736 0.567 0.628 1
Rh1 Rh 0.000 0.500 0.000 1
Rh2 Rh 0.233 0.767 0.750 1
Rh3 Rh 0.500 0.000 0.500 1
Rh4 Rh 0.767 0.233 0.250 1
```

## Properties
- Space-group type: C2/c (15)
- ΔE to the lowest computed polymorph: 0 meV/atom
- DFT formation energy: -0.37 eV/atom
- Magnetic moment: 0.0 μB per formula unit
- Energy: -5.454 eV/atom

***

Density functional theory data (PBE-GGA) for an optimized crystal structure of SnPt3Rh4.

```
data_SnPt3Rh4
_chemical_formula_sum 'Sn1 Pt3 Rh4'
_space_group_name_H-M_alt 'P 1'
_space_group_IT_number 1
_space_group_name_Hall 'P 1'
_cell_length_a 4.800
_cell_length_b 4.800
_cell_length_c 7.963
_cell_angle_alpha 114.56
_cell_angle_beta 114.56
_cell_angle_gamma 49.11
loop_
_atom_site_label
_atom_site_type_symbol
_atom_site_fract_x
_atom_site_fract_y
_atom_site_fract_z
_atom_site_occupancy
Sn1 Sn 0.000 0.000 0.000 1
Pt1 Pt 0.000 0.000 0.500 1
Pt2 Pt 0.499 0.499 0.255 1
Pt3 Pt 0.501 0.501 0.745 1
Rh1 Rh 0.249 0.249 0.872 1
Rh2 Rh 0.250 0.250 0.376 1
Rh3 Rh 0.750 0.750 0.624 1
Rh4 Rh 0.751 0.751 0.128 1
```

## Properties
- Space-group type: C2/m (12)
- DFT formation energy: -0.14 eV/atom
- Magnetic moment: 0.0 μB per formula unit
- Energy: -6.578 eV/atom

***

Density functional theory data (PBE-GGA) for an optimized crystal structure of SnPtRh2.

```
data_SnPtRh2
_chemical_formula_sum 'Sn2 Pt2 Rh4'
_space_group_name_H-M_alt 'P 1'
_space_group_IT_number 1
_space_group_name_Hall 'P 1'
_cell_length_a 9.752
_cell_length_b 9.752
_cell_length_c 9.752
_cell_angle_alpha 156.99
_cell_angle_beta 156.99
_cell_angle_gamma 32.76
loop_
_atom_site_label
_atom_site_type_symbol
_atom_site_fract_x
_atom_site_fract_y
_atom_site_fract_z
_atom_site_occupancy
Sn1 Sn 0.000 0.000 0.000 1
Sn2 Sn 0.750 0.250 0.500 1
Pt1 Pt 0.250 0.750 0.500 1
Pt2 Pt 0.500 0.500 0.000 1
Rh1 Rh 0.150 0.625 0.025 1
Rh2 Rh 0.375 0.400 0.525 1
Rh3 Rh 0.600 0.125 0.975 1
Rh4 Rh 0.875 0.850 0.475 1
```

## Properties
- Space-group type: I-42d (122)
- DFT formation energy: 0.07 eV/atom
- Magnetic moment: 0.0 μB per formula unit
- Energy: -6.122 eV/atom